! PBE-GGA AcTb2US8, optimized geometry; values from VASP
! Formation energy without anion corrections   -1.528 eV/atom
! Crystal system   triclinic
! Fermi-level density of states   1.5 states/eV/cell
&SYSTEM
  ibrav = 0, nat = 12, ntyp = 4
/
ATOMIC_SPECIES
Ac 227.00 Ac.upf
Tb 158.93 Tb.upf
U 238.03 U.upf
S 32.06 S.upf
ATOMIC_POSITIONS angstrom
Ac 0.0000 0.0000 0.0000
Tb 2.9562 3.0515 6.3874
Tb 2.9863 3.0616 2.2813
U -0.0121 -0.0019 4.3344
S 1.3952 2.7882 0.0009
S 1.4289 2.1403 4.3230
S 1.4421 5.3449 2.4388
S 1.4432 5.3578 6.2387
S 4.4993 0.7552 2.4300
S 4.5004 0.7681 6.2300
S 4.5136 3.9728 4.3457
S 4.5473 3.3248 8.6679
CELL_PARAMETERS angstrom
6.0265 0.0000 0.0000
-0.0597 6.1168 0.0000
-0.0243 -0.0038 8.6687